1.
Compound: YTcB2
Source: the Alexandria database
Functional: PBE-GGA
Structure: relaxed

Unit cell a=7.612 b=7.612 c=7.612 alpha=147.22 beta=147.22 gamma=47.04
Fractional coordinates of all 8 atoms:
Y 0.375 0.625 0.750
Y 0.625 0.375 0.250
Tc 0.125 0.875 0.250
Tc 0.875 0.125 0.750
B 0.000 0.000 0.000
B 0.000 0.000 0.500
B 0.000 0.500 0.000
B 0.500 0.000 0.500

Computed properties:
The calculation puts the energy above the most stable polymorph in this dataset at 2.27 eV per formula unit. The value obtained for the energy is -60.34 eV per cell. The calculation puts the calculated density at 5.38 g/cm³. As for the symmetry: I4_1/amd, No. 141. The formation enthalpy at 0 K comes out at 3 meV/atom. Its volume is 16.1 A^3/atom.

=====

2.
Compound: PbBr5
Source: the Alexandria database
Functional: PBE-GGA
Structure: relaxed

Unit cell a=3.846 b=18.374 c=6.880 alpha=90.00 beta=105.95 gamma=90.00
Fractional coordinates of all 12 atoms:
Pb 0.185 0.250 0.354
Pb 0.815 0.750 0.646
Br 0.063 0.545 0.131
Br 0.063 0.955 0.131
Br 0.239 0.636 0.491
Br 0.239 0.864 0.491
Br 0.479 0.750 0.980
Br 0.521 0.250 0.020
Br 0.761 0.136 0.509
Br 0.761 0.364 0.509
Br 0.937 0.045 0.869
Br 0.937 0.455 0.869

Computed properties:
For the formation energy from raw total energies, the calculation gives -0.34 eV/atom. The calculation puts the energy above the most stable polymorph in this dataset at 0.04 eV per formula unit. The value obtained for the energy is -28.24 eV per cell. The calculation puts the calculated density at 4.31 g/cm³. As for the symmetry: P2_1/m, No. 11. Its volume is 39.0 A^3/atom.

=====

3.
Compound: LaPbSe
Source: the Alexandria database
Functional: PBE-GGA
Structure: relaxed

Unit cell a=5.045 b=5.045 c=4.274 alpha=90.00 beta=90.00 gamma=120.00
Fractional coordinates of all 3 atoms:
La 0.000 0.000 0.000
Pb 0.667 0.333 0.500
Se 0.333 0.667 0.000

Computed properties:
For the formation energy from raw total energies, the calculation gives -0.78 eV/atom. The calculation puts the energy above the most stable polymorph in this dataset at 1.19 eV per formula unit. The value obtained for the energy is -14.47 eV per cell. The calculation puts the calculated density at 7.49 g/cm³. As for the symmetry: P-6m2, No. 187. Its volume is 31.4 A^3/atom.

=====

4.
Compound: RbTe3Cl
Source: the Alexandria database
Functional: PBE-GGA
Structure: relaxed

Unit cell a=5.614 b=5.614 c=5.614 alpha=90.00 beta=90.00 gamma=90.00
Fractional coordinates of all 5 atoms:
Rb 0.000 0.000 0.000
Te 0.000 0.500 0.500
Te 0.500 0.000 0.500
Te 0.500 0.500 0.000
Cl 0.500 0.500 0.500

Computed properties:
For the formation energy from raw total energies, the calculation gives 0.07 eV/atom. The calculation puts the energy above the most stable polymorph in this dataset at 0.00 eV per formula unit. The value obtained for the energy is -11.91 eV per cell. The calculation puts the calculated density at 4.73 g/cm³. As for the symmetry: Pm-3m, No. 221. Its volume is 35.4 A^3/atom.

=====

5.
Compound: Zr2CdBr
Source: the Alexandria database
Functional: PBE-GGA
Structure: relaxed

Unit cell a=10.886 b=10.886 c=10.886 alpha=157.03 beta=157.03 gamma=32.72
Fractional coordinates of all 8 atoms:
Zr 0.124 0.625 0.999
Zr 0.375 0.374 0.499
Zr 0.626 0.125 0.001
Zr 0.875 0.876 0.501
Cd 0.000 0.000 0.000
Cd 0.750 0.250 0.500
Br 0.250 0.750 0.500
Br 0.500 0.500 0.000

Computed properties:
For the formation energy from raw total energies, the calculation gives 0.20 eV/atom. The calculation puts the energy above the most stable polymorph in this dataset at 2.23 eV per formula unit. The value obtained for the energy is -37.76 eV per cell. The calculation puts the calculated density at 6.34 g/cm³. As for the symmetry: I-42d, No. 122. Its volume is 24.5 A^3/atom.

=====

6.
Compound: TlInN2
Source: the Alexandria database
Functional: PBE-GGA
Structure: relaxed

Unit cell a=6.317 b=6.317 c=6.317 alpha=131.75 beta=131.75 gamma=70.62
Fractional coordinates of all 8 atoms:
Tl 0.000 0.000 0.000
Tl 0.750 0.250 0.500
In 0.250 0.750 0.500
In 0.500 0.500 0.000
N 0.142 0.625 0.017
N 0.375 0.392 0.517
N 0.608 0.125 0.983
N 0.875 0.858 0.483

Computed properties:
For the formation energy from raw total energies, the calculation gives 0.51 eV/atom. The calculation puts the energy above the most stable polymorph in this dataset at 1.31 eV per formula unit. The value obtained for the energy is -39.43 eV per cell. The calculation puts the calculated density at 8.39 g/cm³. As for the symmetry: I-42d, No. 122. Its volume is 17.2 A^3/atom.

=====

7.
Compound: Na2BeBiO4
Source: the Alexandria database
Functional: PBE-GGA
Structure: relaxed

Unit cell a=5.455 b=5.455 c=5.455 alpha=122.11 beta=122.11 gamma=86.38
Fractional coordinates of all 8 atoms:
Na 0.000 0.000 0.000
Na 0.750 0.250 0.500
Be 0.250 0.750 0.500
Bi 0.500 0.500 0.000
O 0.171 0.062 0.524
O 0.353 0.829 0.890
O 0.538 0.647 0.476
O 0.938 0.462 0.110

Computed properties:
For the formation energy from raw total energies, the calculation gives -1.57 eV/atom. The value obtained for the energy is -42.65 eV per cell. The calculation puts the calculated density at 4.91 g/cm³. As for the symmetry: I-4, No. 82. Its volume is 13.9 A^3/atom.

=====

8.
Compound: CsAsC3
Source: the Alexandria database
Functional: PBE-GGA
Structure: relaxed

Unit cell a=4.646 b=4.646 c=4.646 alpha=90.00 beta=90.00 gamma=90.00
Fractional coordinates of all 5 atoms:
Cs 0.000 0.000 0.000
As 0.500 0.500 0.500
C 0.000 0.000 0.500
C 0.000 0.500 0.000
C 0.500 0.000 0.000

Computed properties:
The calculation puts the energy above the most stable polymorph in this dataset at 7.87 eV per formula unit. The value obtained for the energy is -11.89 eV per cell. The calculation puts the calculated density at 4.04 g/cm³. As for the symmetry: Pm-3m, No. 221. The formation enthalpy at 0 K comes out at 4257 meV/atom. Its volume is 20.1 A^3/atom.

=====

9.
Compound: Ho6Ag5Hg
Source: the Alexandria database
Functional: PBE-GGA
Structure: relaxed

Unit cell a=8.122 b=8.122 c=7.263 alpha=90.00 beta=90.00 gamma=143.06
Fractional coordinates of all 12 atoms:
Ho 0.000 0.000 0.246
Ho 0.000 0.000 0.754
Ho 0.332 0.668 0.248
Ho 0.332 0.668 0.752
Ho 0.668 0.332 0.248
Ho 0.668 0.332 0.752
Ag 0.166 0.834 0.000
Ag 0.167 0.833 0.500
Ag 0.500 0.500 0.000
Ag 0.833 0.167 0.500
Ag 0.834 0.166 0.000
Hg 0.500 0.500 0.500

Computed properties:
The value obtained for the energy is -46.29 eV per cell. The calculation puts the calculated density at 9.97 g/cm³. As for the symmetry: Cmmm, No. 65. The formation enthalpy at 0 K comes out at -355 meV/atom. Its volume is 24.0 A^3/atom.

=====

10.
Compound: LiMo4W
Source: the Alexandria database
Functional: PBE-GGA
Structure: relaxed

Unit cell a=5.196 b=5.196 c=5.196 alpha=60.00 beta=60.00 gamma=60.00
Fractional coordinates of all 6 atoms:
Li 0.000 0.000 0.000
Mo 0.122 0.626 0.626
Mo 0.626 0.122 0.626
Mo 0.626 0.626 0.122
Mo 0.626 0.626 0.626
W 0.250 0.250 0.250

Computed properties:
The value obtained for the energy is -55.58 eV per cell. The calculation puts the calculated density at 9.62 g/cm³. As for the symmetry: F-43m, No. 216. The formation enthalpy at 0 K comes out at 435 meV/atom. Its volume is 16.5 A^3/atom.

=====

11.
Compound: Ba2P3Pd
Source: the Alexandria database
Functional: PBE-GGA
Structure: relaxed

Unit cell a=8.516 b=8.392 c=6.521 alpha=68.32 beta=66.31 gamma=45.36
Fractional coordinates of all 12 atoms:
Ba 0.233 0.767 0.233
Ba 0.250 0.250 0.250
Ba 0.750 0.750 0.750
Ba 0.767 0.233 0.767
P 0.161 0.161 0.839
P 0.195 0.649 0.805
P 0.351 0.805 0.649
P 0.649 0.195 0.351
P 0.805 0.351 0.195
P 0.839 0.839 0.161
Pd 0.329 0.329 0.671
Pd 0.671 0.671 0.329

Computed properties:
The calculation puts the energy above the most stable polymorph in this dataset at 0.61 eV per formula unit. The value obtained for the energy is -60.22 eV per cell. The calculation puts the calculated density at 5.23 g/cm³. As for the symmetry: Fmmm, No. 69. The formation enthalpy at 0 K comes out at -807 meV/atom. Its volume is 25.1 A^3/atom.